Entry 1:
! Tm2PdO4 | the Alexandria database | PBE-GGA | relaxed; values from VASP
! Energy relative to the elements, uncorrected   -17.1 eV per formula unit
&SYSTEM
  ibrav = 0, nat = 7, ntyp = 3
/
ATOMIC_SPECIES
Tm 168.93 Tm.upf
Pd 106.42 Pd.upf
O 16.00 O.upf
ATOMIC_POSITIONS crystal
Tm 0.215 0.215 0.222
Tm 0.785 0.785 0.778
Pd 0.500 0.500 0.500
O 0.160 0.160 0.807
O 0.367 0.367 0.649
O 0.633 0.633 0.351
O 0.840 0.840 0.193
CELL_PARAMETERS angstrom
5.695 -1.712 0.000
5.695 1.712 0.000
-2.417 0.000 5.220

---

Entry 2:
! Ba2TaBr | the Alexandria database | PBE-GGA | relaxed; values from VASP
! Energy relative to the elements, uncorrected   0.6 eV per formula unit
! Relative energy among the computed polymorphs   40 meV/atom
&SYSTEM
  ibrav = 0, nat = 4, ntyp = 3
/
ATOMIC_SPECIES
Ba 137.33 Ba.upf
Ta 180.95 Ta.upf
Br 79.90 Br.upf
ATOMIC_POSITIONS crystal
Ba 0.248 0.248 0.248
Ba 0.752 0.752 0.752
Ta 0.000 0.000 0.000
Br 0.500 0.500 0.500
CELL_PARAMETERS angstrom
1.904 1.100 10.671
-1.904 1.100 10.671
0.000 -2.199 10.671

---

For the records above, the corresponding ρ values read 8.29; 6.63 Mg/m³.